i:
A geometry-optimized AcAsS structure. Source: Alexandria via LeMat-Bulk, functional PBE.

space group = Pnma (62)
magnetization = 0.00 μB/f.u.

a = 18.3696 Å, b = 4.0883 Å, c = 4.2155 Å
α = 90.00°, β = 90.00°, γ = 90.00°
Element x y z (fractional)
Ac 0.1466 0.2500 0.2281
Ac 0.3534 0.7500 0.7281
Ac 0.6466 0.2500 0.2719
Ac 0.8534 0.7500 0.7719
As 0.0025 0.2500 0.6929
As 0.4975 0.7500 0.1929
As 0.5025 0.2500 0.8071
As 0.9975 0.7500 0.3071
S 0.1862 0.7500 0.7306
S 0.3138 0.2500 0.2306
S 0.6862 0.7500 0.7694
S 0.8138 0.2500 0.2694



ii:
A geometry-optimized AcAsS structure. Source: Alexandria via LeMat-Bulk, functional PBE.

space group = I4/mmm (139)
magnetization = 0.00 μB/f.u.

a = 4.1171 Å, b = 4.1171 Å, c = 18.4708 Å
α = 90.00°, β = 90.00°, γ = 90.00°
Element x y z (fractional)
Ac 0.0000 0.0000 0.1458
Ac 0.0000 0.0000 0.8542
Ac 0.5000 0.5000 0.3542
Ac 0.5000 0.5000 0.6458
As 0.0000 0.5000 0.0000
As 0.0000 0.5000 0.5000
As 0.5000 0.0000 0.0000
As 0.5000 0.0000 0.5000
S 0.0000 0.0000 0.3131
S 0.0000 0.0000 0.6869
S 0.5000 0.5000 0.1869
S 0.5000 0.5000 0.8131



iii:
A geometry-optimized AcAsS structure. Source: Alexandria via LeMat-Bulk, functional PBE.

space group = Pnma (62)
magnetization = 0.00 μB/f.u.

a = 6.7598 Å, b = 5.8457 Å, c = 7.9531 Å
α = 90.00°, β = 90.00°, γ = 90.00°
Element x y z (fractional)
Ac 0.2416 0.2500 0.0762
Ac 0.2584 0.7500 0.5762
Ac 0.7416 0.2500 0.4238
Ac 0.7584 0.7500 0.9238
As 0.0597 0.2500 0.7020
As 0.4403 0.7500 0.2020
As 0.5597 0.2500 0.7980
As 0.9403 0.7500 0.2980
S 0.2054 0.7500 0.9718
S 0.2946 0.2500 0.4718
S 0.7054 0.7500 0.5282
S 0.7946 0.2500 0.0282



It is iii that is the least stable of them.



i:
A geometry-optimized Ac2AsS structure. Source: Alexandria via LeMat-Bulk, functional PBE.

space group = P4/mmm (123)
magnetization = 0.00 μB/f.u.

a = 3.7951 Å, b = 3.7951 Å, c = 7.5762 Å
α = 90.00°, β = 90.00°, γ = 90.00°
Element x y z (fractional)
Ac 0.0000 0.0000 0.2466
Ac 0.0000 0.0000 0.7534
As 0.5000 0.5000 0.0000
S 0.5000 0.5000 0.5000



ii:
A geometry-optimized Ac2AsS structure. Source: Alexandria via LeMat-Bulk, functional PBE.

space group = R3m (160)
magnetization = 0.00 μB/f.u.

a = 4.3424 Å, b = 4.3424 Å, c = 23.0413 Å
α = 90.00°, β = 90.00°, γ = 120.00°
Element x y z (fractional)
Ac 0.0000 0.0000 0.0000
Ac 0.0000 0.0000 0.1737
Ac 0.3333 0.6667 0.6667
Ac 0.3333 0.6667 0.8404
Ac 0.6667 0.3333 0.3333
Ac 0.6667 0.3333 0.5071
As 0.0000 0.0000 0.5861
As 0.3333 0.6667 0.2527
As 0.6667 0.3333 0.9194
S 0.0000 0.0000 0.7552
S 0.3333 0.6667 0.4219
S 0.6667 0.3333 0.0886



iii:
A geometry-optimized Ac2AsS structure. Source: Alexandria via LeMat-Bulk, functional PBE.

space group = R-3m (166)
magnetization = 0.00 μB/f.u.

a = 4.4522 Å, b = 4.4522 Å, c = 21.5501 Å
α = 90.00°, β = 90.00°, γ = 120.00°
Element x y z (fractional)
Ac 0.0000 0.0000 0.2494
Ac 0.0000 0.0000 0.7506
Ac 0.3333 0.6667 0.4173
Ac 0.3333 0.6667 0.9160
Ac 0.6667 0.3333 0.0840
Ac 0.6667 0.3333 0.5827
As 0.0000 0.0000 0.0000
As 0.3333 0.6667 0.6667
As 0.6667 0.3333 0.3333
S 0.0000 0.0000 0.5000
S 0.3333 0.6667 0.1667
S 0.6667 0.3333 0.8333



It is i that is the least stable of them.



i:
A geometry-optimized Ac4As2S structure. Source: Alexandria via LeMat-Bulk, functional PBE.

space group = C2/m (12)
magnetization = 0.79 μB/f.u.

a = 16.6816 Å, b = 4.3620 Å, c = 7.6073 Å
α = 90.00°, β = 116.97°, γ = 90.00°
Element x y z (fractional)
Ac 0.1250 0.0000 0.2859
Ac 0.1261 0.5000 0.8009
Ac 0.3739 0.0000 0.1991
Ac 0.3750 0.5000 0.7141
Ac 0.6250 0.5000 0.2859
Ac 0.6261 0.0000 0.8009
Ac 0.8739 0.5000 0.1991
Ac 0.8750 0.0000 0.7141
As 0.2451 0.0000 0.7431
As 0.2549 0.5000 0.2569
As 0.7451 0.5000 0.7431
As 0.7549 0.0000 0.2569
S 0.0000 0.5000 0.0000
S 0.5000 0.0000 0.0000



ii:
A geometry-optimized Ac4As2S structure. Source: Alexandria via LeMat-Bulk, functional PBE.

space group = I4/mmm (139)
magnetization = 0.00 μB/f.u.

a = 5.6027 Å, b = 5.6027 Å, c = 16.0657 Å
α = 90.00°, β = 90.00°, γ = 90.00°
Element x y z (fractional)
Ac 0.0000 0.0000 0.1885
Ac 0.0000 0.0000 0.8115
Ac 0.0000 0.5000 0.0000
Ac 0.0000 0.5000 0.5000
Ac 0.5000 0.0000 0.0000
Ac 0.5000 0.0000 0.5000
Ac 0.5000 0.5000 0.3115
Ac 0.5000 0.5000 0.6885
As 0.0000 0.0000 0.3766
As 0.0000 0.0000 0.6234
As 0.5000 0.5000 0.1234
As 0.5000 0.5000 0.8766
S 0.0000 0.0000 0.0000
S 0.5000 0.5000 0.5000



It is ii that is the least stable of them.



i:
A geometry-optimized AcSbAs2 structure. Source: Alexandria via LeMat-Bulk, functional PBE.

space group = P4/mmm (123)
magnetization = 0.00 μB/f.u.

a = 5.0036 Å, b = 5.0036 Å, c = 4.1369 Å
α = 90.00°, β = 90.00°, γ = 90.00°
Element x y z (fractional)
Ac 0.0000 0.0000 0.0000
Sb 0.5000 0.5000 0.0000
As 0.0000 0.5000 0.5000
As 0.5000 0.0000 0.5000



ii:
A geometry-optimized AcSbAs2 structure. Source: Alexandria via LeMat-Bulk, functional PBE.

space group = R-3m (166)
magnetization = 0.00 μB/f.u.

a = 4.3706 Å, b = 4.3706 Å, c = 21.3675 Å
α = 90.00°, β = 90.00°, γ = 120.00°
Element x y z (fractional)
Ac 0.0000 0.0000 0.0000
Ac 0.3333 0.6667 0.6667
Ac 0.6667 0.3333 0.3333
Sb 0.0000 0.0000 0.5000
Sb 0.3333 0.6667 0.1667
Sb 0.6667 0.3333 0.8333
As 0.0000 0.0000 0.2440
As 0.0000 0.0000 0.7560
As 0.3333 0.6667 0.4227
As 0.3333 0.6667 0.9107
As 0.6667 0.3333 0.0893
As 0.6667 0.3333 0.5773



iii:
A geometry-optimized AcSbAs2 structure. Source: Alexandria via LeMat-Bulk, functional PBE.

space group = Fm-3m (225)
magnetization = 0.00 μB/f.u.

a = 7.5107 Å, b = 7.5107 Å, c = 7.5107 Å
α = 90.00°, β = 90.00°, γ = 90.00°
Element x y z (fractional)
Ac 0.0000 0.0000 0.0000
Ac 0.0000 0.5000 0.5000
Ac 0.5000 0.0000 0.5000
Ac 0.5000 0.5000 0.0000
Sb 0.0000 0.0000 0.5000
Sb 0.0000 0.5000 0.0000
Sb 0.5000 0.0000 0.0000
Sb 0.5000 0.5000 0.5000
As 0.2500 0.2500 0.2500
As 0.2500 0.2500 0.7500
As 0.2500 0.7500 0.2500
As 0.2500 0.7500 0.7500
As 0.7500 0.2500 0.2500
As 0.7500 0.2500 0.7500
As 0.7500 0.7500 0.2500
As 0.7500 0.7500 0.7500



It is iii that is the least stable of them.